[1]
Compound: Ba2YMg
Source: the Alexandria database
Functional: PBE-GGA
Structure: optimized geometry

Values from the calculation:
DOS(E_F) (states/eV per atom): 1.740
E_form (meV/atom): 63

Unit cell a=4.141 b=4.141 c=10.082 alpha=90.00 beta=90.00 gamma=90.00
Atoms (fractional coordinates):
Ba 0.000 0.000 0.000
Ba 0.500 0.500 0.352
Y 0.500 0.500 0.731
Mg 0.000 0.000 0.583

---

[2]
Compound: InGa4I5
Source: the Alexandria database
Functional: PBE-GGA
Structure: optimized geometry

Values from the calculation:
Total DFT energy (no corrections) (eV/atom): -2.621
DOS(E_F) (states/eV per atom): 0.000

Unit cell a=12.585 b=12.585 c=12.585 alpha=158.38 beta=149.05 gamma=38.07
Atoms (fractional coordinates):
In 0.000 0.000 0.000
Ga 0.203 0.203 0.000
Ga 0.399 0.399 0.000
Ga 0.601 0.601 0.000
Ga 0.797 0.797 0.000
I 0.107 0.607 0.500
I 0.302 0.802 0.500
I 0.500 0.000 0.500
I 0.698 0.198 0.500
I 0.893 0.393 0.500